1.
# CuAsOs (PBE-GGA, relaxed)
data_CuAsOs
_cell_length_a 4.1150
_cell_length_b 4.1150
_cell_length_c 3.0652
_cell_angle_alpha 90.00
_cell_angle_beta 90.00
_cell_angle_gamma 120.00
_space_group_name_H-M_alt 'P 3 m 1'
_space_group_IT_number 156
loop_
_space_group_symop_operation_xyz
'x,y,z'
'-y,x-y,z'
'-x+y,-x,z'
'-y,-x,z'
'-x+y,y,z'
'x,x-y,z'
loop_
_atom_site_label
_atom_site_fract_x
_atom_site_fract_y
_atom_site_fract_z
_atom_site_occupancy
Cu1 0.0000 0.0000 0.0000 1
As1 0.3333 0.6667 0.4984 1
Os1 0.6667 0.3333 0.5002 1
# Formation enthalpy at 0 K in eV/atom: 0.3454
# Crystal system: trigonal
# Magnetization in μB per cell: 0.00
# E_tot in eV per atom: -6.31
# Energy above the lowest structure with this stoichiometry in eV per atom: 0.085

***

2.
# Ni2HgC (PBE-GGA, relaxed)
data_Ni2HgC
_cell_length_a 5.866
_cell_length_b 5.866
_cell_length_c 5.866
_cell_angle_alpha 90.00
_cell_angle_beta 90.00
_cell_angle_gamma 90.00
_space_group_name_H-M_alt 'F m -3 m'
_space_group_IT_number 225
_space_group_name_Hall '-F 4 2 3'
loop_
_atom_site_label
_atom_site_fract_x
_atom_site_fract_y
_atom_site_fract_z
_atom_site_occupancy
Ni1 0.250 0.250 0.250 1
Hg1 0.000 0.000 0.000 1
C1 0.000 0.000 0.500 1
# Formation enthalpy at 0 K in eV/atom: 1.3695
# Crystal system: cubic
# Magnetization in μB per cell: 0.00
# E_tot in eV per atom: -3.90
# Energy above the lowest structure with this stoichiometry in eV per atom: 0.799

***

3.
# SrHg2PAu (PBE-GGA, relaxed)
data_SrHg2PAu
_cell_length_a 5.289
_cell_length_b 5.289
_cell_length_c 4.826
_cell_angle_alpha 90.00
_cell_angle_beta 90.00
_cell_angle_gamma 90.00
_space_group_name_H-M_alt 'P 4/m m m'
_space_group_IT_number 123
_space_group_name_Hall '-P 4 2'
loop_
_atom_site_label
_atom_site_fract_x
_atom_site_fract_y
_atom_site_fract_z
_atom_site_occupancy
Sr1 0.000 0.000 0.000 1
Hg1 0.000 0.500 0.500 1
P1 0.500 0.500 0.500 1
Au1 0.500 0.500 0.000 1
# Formation enthalpy at 0 K in eV/atom: -0.1246
# Crystal system: tetragonal
# Magnetization in μB per cell: 0.00
# E_tot in eV per atom: -2.32

***

4.
# Zr2TlPt (PBE-GGA, relaxed)
data_Zr2TlPt
_cell_length_a 6.134
_cell_length_b 8.218
_cell_length_c 3.262
_cell_angle_alpha 90.00
_cell_angle_beta 90.00
_cell_angle_gamma 90.00
_space_group_name_H-M_alt 'C m m m'
_space_group_IT_number 65
_space_group_name_Hall '-C 2 2'
loop_
_atom_site_label
_atom_site_fract_x
_atom_site_fract_y
_atom_site_fract_z
_atom_site_occupancy
Zr1 0.250 0.250 0.000 1
Tl1 0.000 0.000 0.500 1
Pt1 0.000 0.500 0.500 1
# Formation enthalpy at 0 K in eV/atom: -0.4051
# Crystal system: orthorhombic
# Magnetization in μB per cell: 0.00
# E_tot in eV per atom: -6.78
# Energy above the lowest structure with this stoichiometry in eV per atom: 0.090